Entry 1:
# PBE-GGA Pr2SmPN5, optimized geometry
# * formation energy from raw total energies: -1.0851 eV/atom
# * SG: I4/mcm, No. 140
data_Pr2SmPN5
_chemical_formula_sum 'Pr4 Sm2 P2 N10'
_symmetry_space_group_name_H-M 'P 1'
_symmetry_Int_Tables_number 1
_cell_length_a 6.777
_cell_length_b 6.777
_cell_length_c 7.251
_cell_angle_alpha 117.86
_cell_angle_beta 117.86
_cell_angle_gamma 90.00
loop_
_symmetry_equiv_pos_as_xyz
'x,y,z'
loop_
_atom_site_label
_atom_site_type_symbol
_atom_site_fract_x
_atom_site_fract_y
_atom_site_fract_z
Pr1 Pr 0.180 0.320 0.000
Pr2 Pr 0.680 0.180 0.000
Pr3 Pr 0.320 0.820 0.000
Pr4 Pr 0.820 0.680 0.000
Sm1 Sm 0.250 0.250 0.500
Sm2 Sm 0.750 0.750 0.500
P1 P 0.250 0.750 0.500
P2 P 0.750 0.250 0.500
N1 N 0.021 0.521 0.312
N2 N 0.709 0.209 0.688
N3 N 0.979 0.479 0.688
N4 N 0.209 0.979 0.688
N5 N 0.479 0.709 0.688
N6 N 0.791 0.021 0.312
N7 N 0.521 0.291 0.312
N8 N 0.291 0.791 0.312
N9 N 0.500 0.500 0.000
N10 N 0.000 0.000 0.000

***

Entry 2:
# PBE-GGA NaSrAg10, optimized geometry
# * calculated total energy: -2.7169 eV per atom
# * SG: Pmmm, No. 47
data_NaSrAg10
_chemical_formula_sum 'Na1 Sr1 Ag10'
_symmetry_space_group_name_H-M 'P 1'
_symmetry_Int_Tables_number 1
_cell_length_a 4.686
_cell_length_b 5.620
_cell_length_c 9.934
_cell_angle_alpha 90.00
_cell_angle_beta 90.00
_cell_angle_gamma 90.00
loop_
_symmetry_equiv_pos_as_xyz
'x,y,z'
loop_
_atom_site_label
_atom_site_type_symbol
_atom_site_fract_x
_atom_site_fract_y
_atom_site_fract_z
Na1 Na 0.000 0.500 0.500
Sr1 Sr 0.000 0.000 0.000
Ag1 Ag 0.000 0.000 0.340
Ag2 Ag 0.000 0.500 0.824
Ag3 Ag 0.000 0.500 0.176
Ag4 Ag 0.000 0.000 0.660
Ag5 Ag 0.500 0.000 0.500
Ag6 Ag 0.500 0.500 0.000
Ag7 Ag 0.500 0.248 0.250
Ag8 Ag 0.500 0.752 0.750
Ag9 Ag 0.500 0.752 0.250
Ag10 Ag 0.500 0.248 0.750

***

Entry 3:
# PBE-GGA CoRh, optimized geometry
# * calculated total energy: -7.1590 eV per atom
# * SG: Pm, No. 6
data_CoRh
_chemical_formula_sum 'Co3 Rh3'
_symmetry_space_group_name_H-M 'P 1'
_symmetry_Int_Tables_number 1
_cell_length_a 2.655
_cell_length_b 6.365
_cell_length_c 4.557
_cell_angle_alpha 90.53
_cell_angle_beta 90.00
_cell_angle_gamma 90.00
loop_
_symmetry_equiv_pos_as_xyz
'x,y,z'
loop_
_atom_site_label
_atom_site_type_symbol
_atom_site_fract_x
_atom_site_fract_y
_atom_site_fract_z
Co1 Co 0.000 0.008 0.014
Co2 Co 0.500 0.320 0.166
Co3 Co 0.500 0.004 0.488
Rh1 Rh 0.000 0.669 0.330
Rh2 Rh 0.000 0.322 0.668
Rh3 Rh 0.500 0.677 0.834

***

Entry 4:
# PBE-GGA Nb4FeC2, optimized geometry
# * calculated total energy: -9.9822 eV per atom
# * SG: Cmcm, No. 63
data_Nb4FeC2
_chemical_formula_sum 'Nb8 Fe2 C4'
_symmetry_space_group_name_H-M 'P 1'
_symmetry_Int_Tables_number 1
_cell_length_a 3.182
_cell_length_b 5.559
_cell_length_c 11.246
_cell_angle_alpha 90.00
_cell_angle_beta 90.00
_cell_angle_gamma 106.63
loop_
_symmetry_equiv_pos_as_xyz
'x,y,z'
loop_
_atom_site_label
_atom_site_type_symbol
_atom_site_fract_x
_atom_site_fract_y
_atom_site_fract_z
C1 C 0.136 0.271 0.437
C2 C 0.864 0.729 0.937
C3 C 0.136 0.271 0.063
C4 C 0.864 0.729 0.563
Nb1 Nb 0.770 0.540 0.110
Nb2 Nb 0.770 0.540 0.390
Nb3 Nb 0.230 0.460 0.890
Nb4 Nb 0.230 0.460 0.610
Nb5 Nb 0.931 0.862 0.750
Nb6 Nb 0.069 0.138 0.250
Nb7 Nb 0.500 0.000 0.000
Nb8 Nb 0.500 0.000 0.500
Fe1 Fe 0.607 0.214 0.750
Fe2 Fe 0.393 0.786 0.250

***

Total moment across the listed records, respectively: 0.0758, 0.0000, 1.0875, 0.0984 μB/atom.